Below is a relaxed BaCuBi crystal, with properties calculated at the GGA-PBEsol level.

The structure in POSCAR format:
```
BaCuBi
1.0
4.6708 0.0000 0.0000
-2.3354 4.0450 0.0000
0.0000 0.0000 9.4910
Ba Cu Bi
2 2 2
Cartesian
0.0000 0.0000 0.0000
0.0000 0.0000 4.7455
2.3354 1.3483 2.3728
0.0000 2.6967 7.1183
0.0000 2.6967 2.3728
2.3354 1.3483 7.1183
```

Computed properties:
The total moment comes out at 0.000 μB per atom. The calculation puts the calculated formation energy at -0.53 eV/atom. As for the crystal system: hexagonal.